Cs2Zn2Cu | GGA-PBE | relaxed

Calculated values
SG = I4/mmm
Calculated volume = 182 Å³/cell
Energy = -0.0992 Ry per atom
Size of the total moment = 0.0 μB per cell

Structure (POSCAR):
```
Cs2Zn2Cu
1.0
4.044 0.000 0.000
0.000 4.044 0.000
2.022 2.022 11.110
Cs Zn Cu
2 2 1
direct
0.398 0.398 0.204
0.602 0.602 0.796
0.750 0.250 0.500
0.250 0.750 0.500
0.000 0.000 0.000
```